First-principles (GGA-PBE) data for a relaxed Nd4Dy3Sc crystal, as listed in Alexandria.

- space group = No. 2
- energy of formation (eV/f.u.) = 1.2

Structure (POSCAR):
```
Nd4Dy3Sc
1.0
3.677 0.000 0.000
0.000 5.467 0.000
1.837 2.714 13.188
Nd Dy Sc
4 3 1
direct
0.094 0.095 0.310
0.220 0.220 0.063
0.780 0.780 0.937
0.906 0.905 0.690
0.000 0.500 0.500
0.360 0.361 0.779
0.640 0.639 0.221
0.500 0.000 0.500
```

***

First-principles (GGA-PBE) data for a relaxed Ce3PuTl3 crystal, as listed in Alexandria.

- space group = No. 64
- energy of formation (eV/f.u.) = -0.3

Structure (POSCAR):
```
Ce3PuTl3
1.0
9.858 -3.270 0.000
9.858 3.270 0.000
0.000 0.000 13.038
Ce Pu Tl
12 4 12
direct
0.028 0.305 0.358
0.195 0.472 0.142
0.226 0.774 0.903
0.274 0.726 0.403
0.305 0.028 0.642
0.472 0.195 0.858
0.528 0.805 0.142
0.695 0.972 0.358
0.726 0.274 0.597
0.774 0.226 0.097
0.805 0.528 0.858
0.972 0.695 0.642
0.084 0.084 0.500
0.416 0.416 0.000
0.584 0.584 0.000
0.916 0.916 0.500
0.030 0.311 0.098
0.189 0.470 0.402
0.244 0.756 0.665
0.256 0.744 0.165
0.311 0.030 0.902
0.470 0.189 0.598
0.530 0.811 0.402
0.689 0.970 0.098
0.744 0.256 0.835
0.756 0.244 0.335
0.811 0.530 0.598
0.970 0.689 0.902
```

***

First-principles (GGA-PBE) data for a relaxed NaPbBr2Cl crystal, as listed in Alexandria.

- space group = No. 63
- formation energy (no corrections) (kJ per mole of atoms) = -120.1

Structure (POSCAR):
```
NaPbBr2Cl
1.0
2.133 -7.024 0.000
2.133 7.024 0.000
0.000 0.000 9.702
Na Pb Br Cl
2 2 4 2
direct
0.000 0.000 0.000
0.000 0.000 0.500
0.265 0.735 0.750
0.735 0.265 0.250
0.354 0.646 0.061
0.354 0.646 0.439
0.646 0.354 0.561
0.646 0.354 0.939
0.094 0.906 0.250
0.906 0.094 0.750
```

***

First-principles (GGA-PBE) data for a relaxed DyTm2Cd crystal, as listed in Alexandria.

- space group = No. 160
- energy of formation (eV/f.u.) = -0.3

Structure (POSCAR):
```
DyTm2Cd
1.0
1.783 1.029 10.592
-1.783 1.029 10.592
0.000 -2.059 10.592
Dy Tm Cd
1 2 1
direct
0.000 0.000 0.000
0.578 0.578 0.578
0.756 0.756 0.756
0.166 0.166 0.166
```

***

First-principles (GGA-PBE) data for a relaxed Pu3H2Se2 crystal, as listed in Alexandria.

- space group = No. 12
- electronic total energy (eV for the cell shown) = -60.3

Structure (POSCAR):
```
Pu3H2Se2
1.0
7.099 -1.739 0.000
7.099 1.739 0.000
-1.809 0.000 5.395
Pu H Se
3 2 2
direct
0.000 0.000 0.000
0.233 0.233 0.622
0.767 0.767 0.378
0.150 0.150 0.260
0.850 0.850 0.740
0.373 0.373 0.164
0.627 0.627 0.836
```

***

First-principles (GGA-PBE) data for a relaxed MnRu2Pb crystal, as listed in Alexandria.

- space group = No. 122
- energy of formation (eV/f.u.) = 2.9

Structure (POSCAR):
```
MnRu2Pb
1.0
-3.546 3.546 2.756
3.546 -3.546 2.756
3.546 3.546 -2.756
Mn Ru Pb
2 4 2
direct
0.000 0.000 0.000
0.750 0.250 0.500
0.061 0.625 0.936
0.375 0.311 0.436
0.689 0.125 0.064
0.875 0.939 0.564
0.250 0.750 0.500
0.500 0.500 0.000
```

***

First-principles (GGA-PBE) data for a relaxed TbTmAgHg crystal, as listed in Alexandria.

- space group = No. 216
- energy of formation (eV/f.u.) = -1.6

Structure (POSCAR):
```
TbTmAgHg
1.0
0.000 3.663 3.663
3.663 0.000 3.663
3.663 3.663 0.000
Tb Tm Ag Hg
1 1 1 1
direct
0.000 0.000 0.000
0.500 0.500 0.500
0.750 0.750 0.750
0.250 0.250 0.250
```